Entry from the Alexandria database: a geometry-optimized YSc3Ga4 structure (PBE-GGA).

Structure (CIF):
```
data_YSc3Ga4
_cell_length_a 4.836
_cell_length_b 4.836
_cell_length_c 6.813
_cell_angle_alpha 90.00
_cell_angle_beta 90.00
_cell_angle_gamma 90.00
_symmetry_space_group_name_H-M 'P 4/m m m'
_symmetry_Int_Tables_number 123
_symmetry_space_group_name_Hall '-P 4 2'
loop_
_atom_site_label
_atom_site_type_symbol
_atom_site_fract_x
_atom_site_fract_y
_atom_site_fract_z
Y1 Y 0.000 0.000 0.000
Sc1 Sc 0.000 0.000 0.500
Sc2 Sc 0.500 0.500 0.000
Sc3 Sc 0.500 0.500 0.500
Ga1 Ga 0.000 0.500 0.262
```

Output
- formation energy (eV/atom) = -0.5835
- calculated volume (Å³/atom) = 19.9
- E_tot (eV per atom) = -5.28


Entry from the Alexandria database: a geometry-optimized LaGa3Bi structure (PBE-GGA).

Structure (CIF):
```
data_LaGa3Bi
_cell_length_a 5.662
_cell_length_b 5.662
_cell_length_c 5.662
_cell_angle_alpha 90.00
_cell_angle_beta 90.00
_cell_angle_gamma 90.00
_symmetry_space_group_name_H-M 'P m -3 m'
_symmetry_Int_Tables_number 221
_symmetry_space_group_name_Hall '-P 4 2 3'
loop_
_atom_site_label
_atom_site_type_symbol
_atom_site_fract_x
_atom_site_fract_y
_atom_site_fract_z
La1 La 0.000 0.000 0.000
Ga1 Ga 0.000 0.000 0.500
Bi1 Bi 0.500 0.500 0.500
```

Output
- formation energy (eV/atom) = 0.6724
- ΔE to the lowest computed polymorph (meV per atom) = 304
- calculated volume (Å³/atom) = 36.3
- E_tot (eV per atom) = -2.91


Entry from the Alexandria database: a geometry-optimized MnPdS2 structure (PBE-GGA).

Structure (CIF):
```
data_MnPdS2
_cell_length_a 3.6395
_cell_length_b 3.6395
_cell_length_c 20.9794
_cell_angle_alpha 90.00
_cell_angle_beta 90.00
_cell_angle_gamma 120.00
_symmetry_space_group_name_H-M 'R -3 m'
_symmetry_Int_Tables_number 166
_symmetry_space_group_name_Hall '-R 3 2"'
loop_
_atom_site_label
_atom_site_type_symbol
_atom_site_fract_x
_atom_site_fract_y
_atom_site_fract_z
Mn1 Mn 0.0000 0.0000 0.0000
Pd1 Pd 0.0000 0.0000 0.5000
S1 S 0.0000 0.0000 0.1055
```

Output
- calculated volume (Å³/atom) = 20.1
- formation energy from raw total energies (meV per atom) = -16
- E_tot (eV per atom) = -5.67


Entry from the Alexandria database: a geometry-optimized BaSI2 structure (PBE-GGA).

Structure (CIF):
```
data_BaSI2
_cell_length_a 4.559
_cell_length_b 4.559
_cell_length_c 30.244
_cell_angle_alpha 90.00
_cell_angle_beta 90.00
_cell_angle_gamma 90.00
_symmetry_space_group_name_H-M 'I -4 2 d'
_symmetry_Int_Tables_number 122
_symmetry_space_group_name_Hall 'I -4 2bw'
loop_
_atom_site_label
_atom_site_type_symbol
_atom_site_fract_x
_atom_site_fract_y
_atom_site_fract_z
Ba1 Ba 0.000 0.000 0.000
S1 S 0.000 0.000 0.500
I1 I 0.250 0.250 0.125
```

Output
- ΔE to the lowest computed polymorph (meV per atom) = 0
- calculated volume (Å³/atom) = 39.3
- formation energy from raw total energies (meV per atom) = -776
- E_tot (eV per atom) = -3.06


Question: Look up the E_tot of the first one.
Answer: -5.28 eV per atom